one:
Computed, not measured: crystalline Tl3Au at its relaxed geometry at the PBEsol level of DFT.

Unit cell a=7.205 b=7.205 c=4.116 alpha=90.00 beta=90.00 gamma=104.20
Element x y z (fractional)
Tl: 0.109 0.891 0.750
Tl: 0.181 0.415 0.750
Tl: 0.415 0.181 0.250
Tl: 0.585 0.819 0.750
Tl: 0.819 0.585 0.250
Tl: 0.891 0.109 0.250
Au: 0.291 0.709 0.250
Au: 0.709 0.291 0.750

***

two:
Computed, not measured: crystalline Tl3Au at its relaxed geometry at the PBEsol level of DFT.

Unit cell a=9.447 b=9.447 c=9.447 alpha=22.13 beta=22.13 gamma=22.13
Element x y z (fractional)
Tl: 0.000 0.000 0.000
Tl: 0.238 0.238 0.238
Tl: 0.762 0.762 0.762
Au: 0.500 0.500 0.500

***

three:
Computed, not measured: crystalline Tl3Au at its relaxed geometry at the PBEsol level of DFT.

Unit cell a=5.485 b=5.485 c=5.485 alpha=90.00 beta=90.00 gamma=90.00
Element x y z (fractional)
Tl: 0.000 0.000 0.500
Tl: 0.000 0.500 0.000
Tl: 0.500 0.000 0.000
Au: 0.000 0.000 0.000

***

Which structure is most stable? one, by 23 meV/atom over the runner-up.